! PBE-GGA ErMgInCu, relaxed; values from VASP
&SYSTEM
  ibrav = 0, nat = 4, ntyp = 4
/
ATOMIC_SPECIES
Er 167.26 Er.upf
Mg 24.30 Mg.upf
In 114.82 In.upf
Cu 63.55 Cu.upf
ATOMIC_POSITIONS crystal
Er 0.000 0.000 0.000
Mg 0.500 0.500 0.500
In 0.750 0.750 0.750
Cu 0.250 0.250 0.250
CELL_PARAMETERS angstrom
0.000 3.478 3.478
3.478 0.000 3.478
3.478 3.478 0.000
! ρ in kg/m³: 7300
! Formation energy in eV/atom: -0.252
! Raw total energy in eV per atom: -3.50

---

! PBE-GGA UBiPb, relaxed; values from VASP
&SYSTEM
  ibrav = 0, nat = 6, ntyp = 3
/
ATOMIC_SPECIES
U 238.03 U.upf
Bi 208.98 Bi.upf
Pb 207.20 Pb.upf
ATOMIC_POSITIONS crystal
U 0.199 0.801 0.199
U 0.801 0.199 0.801
Bi 0.250 0.250 0.250
Bi 0.750 0.750 0.750
Pb 0.374 0.374 0.626
Pb 0.626 0.626 0.374
CELL_PARAMETERS angstrom
0.000 5.341 5.957
3.012 0.000 5.957
3.012 5.341 0.000
! E above lowest polymorph in meV per atom: 213
! ρ in kg/m³: 11335
! Formation energy in eV/atom: 0.464
! Raw total energy in eV per atom: -5.83